{"formula": "SiSb2W", "functional": "PBE", "state": "optimized geometry", "cell": [[3.460, 0.000, 0.000], [0.000, 4.460, 0.000], [0.000, 0.000, 5.254]], "species": ["Si", "Sb", "Sb", "W"], "frac_coords": [[0.000, 0.000, 0.000], [0.000, 0.500, 0.500], [0.500, 0.500, 0.000], [0.500, 0.000, 0.500]], "dos_at_fermi_per_ev_fu": 4.11, "total_energy_ev_per_atom": -5.752, "spacegroup": "No. 47", "raw_formation_energy_ev_per_atom": 0.904, "magnetic_moment_mub_per_fu": 0.00}